Arrangement i

BeReNO PBE-GGA optimized geometry; calculated volume = 73.70 Å³/cell; SG = Pmc2_1 (26); spin magnetization = 0.000 μB/atom
1.0
2.782 0.000 0.000
0.000 5.670 0.000
0.000 0.000 4.672
Be Re N O
2 2 2 2
Direct
0.000 0.116 0.000
0.000 0.884 0.500
0.500 0.406 0.551
0.500 0.594 0.051
0.000 0.160 0.628
0.000 0.840 0.128
0.500 0.237 0.120
0.500 0.763 0.620

---

Arrangement ii

BeReNO PBE-GGA optimized geometry; calculated volume = 82.56 Å³/cell; SG = P4/nmm (129); spin magnetization = 0.000 μB/atom
1.0
3.498 0.000 0.000
0.000 3.498 0.000
0.000 0.000 6.747
Be Re N O
2 2 2 2
Direct
0.250 0.250 0.052
0.750 0.750 0.948
0.250 0.750 0.500
0.750 0.250 0.500
0.250 0.250 0.318
0.750 0.750 0.682
0.250 0.750 0.000
0.750 0.250 0.000

---

Arrangement iii

BeReNO PBE-GGA optimized geometry; calculated volume = 77.87 Å³/cell; SG = P4/nmm (129); spin magnetization = 0.025 μB/atom
1.0
3.672 0.000 0.000
0.000 3.672 0.000
0.000 0.000 5.776
Be Re N O
2 2 2 2
Direct
0.250 0.250 0.039
0.750 0.750 0.961
0.250 0.750 0.500
0.750 0.250 0.500
0.250 0.250 0.337
0.750 0.750 0.663
0.250 0.750 0.000
0.750 0.250 0.000

---

Top of the stability list: arrangement i, leading by 30.1 kJ/mol of atoms.

---

Arrangement i

BeReNO PBE-GGA optimized geometry; calculated volume = 73.94 Å³/cell; SG = Pmc2_1 (26); spin magnetization = 0.000 μB/atom
1.0
2.759 0.000 0.000
0.000 5.625 0.000
0.000 0.000 4.764
Be Re N O
2 2 2 2
Direct
0.000 0.124 0.000
0.000 0.876 0.500
0.500 0.402 0.473
0.500 0.598 0.973
0.500 0.264 0.870
0.500 0.736 0.370
0.000 0.137 0.352
0.000 0.863 0.852

---

Arrangement ii

BeReNO PBE-GGA optimized geometry; calculated volume = 72.02 Å³/cell; SG = P4/nmm (129); spin magnetization = 0.008 μB/atom
1.0
3.083 0.000 0.000
0.000 3.083 0.000
0.000 0.000 7.576
Be Re N O
2 2 2 2
Direct
0.250 0.750 0.000
0.750 0.250 0.000
0.250 0.250 0.320
0.750 0.750 0.680
0.250 0.250 0.884
0.750 0.750 0.116
0.250 0.750 0.500
0.750 0.250 0.500

---

Top of the stability list: arrangement i, leading by 99.3 kJ/mol of atoms.

---

Arrangement i

TbBeNO PBE-GGA optimized geometry; calculated volume = 169.30 Å³/cell; SG = Pca2_1 (29); spin magnetization = 0.000 μB/atom
1.0
5.390 0.000 0.000
0.000 6.398 0.000
0.000 0.000 4.909
Tb Be N O
4 4 4 4
Direct
0.050 0.217 0.000
0.450 0.217 0.500
0.550 0.783 0.000
0.950 0.783 0.500
0.082 0.601 0.017
0.418 0.601 0.517
0.582 0.399 0.017
0.918 0.399 0.517
0.156 0.519 0.698
0.344 0.519 0.198
0.656 0.481 0.698
0.844 0.481 0.198
0.017 0.144 0.510
0.483 0.144 0.010
0.517 0.856 0.510
0.983 0.856 0.010

---

Arrangement ii

TbBeNO PBE-GGA optimized geometry; calculated volume = 97.23 Å³/cell; SG = P4/nmm (129); spin magnetization = 0.000 μB/atom
1.0
4.570 0.000 0.000
0.000 4.570 0.000
0.000 0.000 4.655
Tb Be N O
2 2 2 2
Direct
0.250 0.750 0.000
0.750 0.250 0.000
0.250 0.250 0.419
0.750 0.750 0.581
0.250 0.250 0.082
0.750 0.750 0.918
0.250 0.750 0.500
0.750 0.250 0.500

---

Top of the stability list: arrangement i, leading by 43.0 kJ/mol of atoms.

---

Arrangement i

TbBeNO PBE-GGA optimized geometry; calculated volume = 88.76 Å³/cell; SG = P4/nmm (129); spin magnetization = 0.000 μB/atom
1.0
3.492 0.000 0.000
0.000 3.492 0.000
0.000 0.000 7.277
Tb Be N O
2 2 2 2
Direct
0.250 0.250 0.175
0.750 0.750 0.825
0.250 0.750 0.500
0.750 0.250 0.500
0.250 0.250 0.593
0.750 0.750 0.407
0.250 0.750 0.000
0.750 0.250 0.000

---

Arrangement ii

TbBeNO PBE-GGA optimized geometry; calculated volume = 169.52 Å³/cell; SG = Pca2_1 (29); spin magnetization = 0.000 μB/atom
1.0
5.062 0.000 0.000
0.000 6.945 0.000
0.000 0.000 4.822
Tb Be N O
4 4 4 4
Direct
0.017 0.172 0.000
0.483 0.172 0.500
0.517 0.828 0.000
0.983 0.828 0.500
0.073 0.594 0.997
0.427 0.594 0.497
0.573 0.406 0.997
0.927 0.406 0.497
0.003 0.840 0.005
0.497 0.840 0.505
0.503 0.160 0.005
0.997 0.160 0.505
0.143 0.535 0.665
0.357 0.535 0.165
0.643 0.465 0.665
0.857 0.465 0.165

---

Top of the stability list: arrangement ii, leading by 30.1 kJ/mol of atoms.

---

Arrangement i

TbBeNO PBE-GGA optimized geometry; calculated volume = 89.19 Å³/cell; SG = Pmc2_1 (26); spin magnetization = 0.000 μB/atom
1.0
3.219 0.000 0.000
0.000 5.212 0.000
0.000 0.000 5.316
Tb Be N O
2 2 2 2
Direct
0.000 0.218 0.000
0.000 0.782 0.500
0.500 0.198 0.525
0.500 0.802 0.025
0.500 0.029 0.258
0.500 0.971 0.758
0.000 0.355 0.562
0.000 0.645 0.062

---

Arrangement ii

TbBeNO PBE-GGA optimized geometry; calculated volume = 86.37 Å³/cell; SG = Pmc2_1 (26); spin magnetization = 0.000 μB/atom
1.0
3.340 0.000 0.000
0.000 5.145 0.000
0.000 0.000 5.026
Tb Be N O
2 2 2 2
Direct
0.000 0.234 0.000
0.000 0.766 0.500
0.500 0.214 0.496
0.500 0.786 0.996
0.000 0.330 0.484
0.000 0.670 0.984
0.500 0.014 0.755
0.500 0.986 0.255

---

Top of the stability list: arrangement i, leading by 8.1 kJ/mol of atoms.

---

Arrangement i

TmBeNO PBE-GGA optimized geometry; calculated volume = 162.94 Å³/cell; SG = Pca2_1 (29); spin magnetization = 0.000 μB/atom
1.0
5.406 0.000 0.000
0.000 6.208 0.000
0.000 0.000 4.855
Tm Be N O
4 4 4 4
Direct
0.059 0.217 0.000
0.441 0.217 0.500
0.559 0.783 0.000
0.941 0.783 0.500
0.083 0.606 0.017
0.417 0.606 0.517
0.583 0.394 0.017
0.917 0.394 0.517
0.154 0.522 0.697
0.346 0.522 0.197
0.654 0.478 0.697
0.846 0.478 0.197
0.032 0.136 0.512
0.468 0.136 0.012
0.532 0.864 0.512
0.968 0.864 0.012

---

Arrangement ii

TmBeNO PBE-GGA optimized geometry; calculated volume = 165.81 Å³/cell; SG = Pca2_1 (29); spin magnetization = 0.000 μB/atom
1.0
4.929 0.000 0.000
0.000 7.127 0.000
0.000 0.000 4.721
Tm Be N O
4 4 4 4
Direct
0.014 0.163 0.000
0.486 0.163 0.500
0.514 0.837 0.000
0.986 0.837 0.500
0.076 0.594 0.976
0.424 0.594 0.476
0.576 0.406 0.976
0.924 0.406 0.476
0.006 0.161 0.506
0.494 0.161 0.006
0.506 0.839 0.506
0.994 0.839 0.006
0.126 0.553 0.630
0.374 0.553 0.130
0.626 0.447 0.630
0.874 0.447 0.130

---

Top of the stability list: arrangement ii, leading by 20.6 kJ/mol of atoms.

---

Arrangement i

TmBeNO PBE-GGA optimized geometry; calculated volume = 90.60 Å³/cell; SG = Pmc2_1 (26); spin magnetization = 0.000 μB/atom
1.0
3.441 0.000 0.000
0.000 5.516 0.000
0.000 0.000 4.774
Tm Be N O
2 2 2 2
Direct
0.000 0.210 0.000
0.000 0.790 0.500
0.500 0.331 0.531
0.500 0.669 0.031
0.000 0.193 0.481
0.000 0.807 0.981
0.500 0.405 0.866
0.500 0.595 0.366

---

Arrangement ii

TmBeNO PBE-GGA optimized geometry; calculated volume = 90.39 Å³/cell; SG = P4/nmm (129); spin magnetization = 0.000 μB/atom
1.0
4.498 0.000 0.000
0.000 4.498 0.000
0.000 0.000 4.468
Tm Be N O
2 2 2 2
Direct
0.250 0.750 0.000
0.750 0.250 0.000
0.250 0.250 0.424
0.750 0.750 0.576
0.250 0.250 0.068
0.750 0.750 0.932
0.250 0.750 0.500
0.750 0.250 0.500

---

Top of the stability list: arrangement i, leading by 34.6 kJ/mol of atoms.

---

Arrangement i

BeZnNO PBE-GGA optimized geometry; calculated volume = 72.96 Å³/cell; SG = Pmc2_1 (26)
1.0
2.745 0.000 0.000
0.000 5.328 0.000
0.000 0.000 4.989
Be Zn N O
2 2 2 2
Direct
0.000 0.164 0.000
0.000 0.836 0.500
0.500 0.324 0.513
0.500 0.676 0.013
0.000 0.119 0.341
0.000 0.881 0.841
0.500 0.317 0.912
0.500 0.683 0.412

---

Arrangement ii

BeZnNO PBE-GGA optimized geometry; calculated volume = 77.53 Å³/cell; SG = P4/nmm (129)
1.0
3.505 0.000 0.000
0.000 3.505 0.000
0.000 0.000 6.310
Be Zn N O
2 2 2 2
Direct
0.250 0.250 0.068
0.750 0.750 0.932
0.250 0.750 0.500
0.750 0.250 0.500
0.250 0.250 0.343
0.750 0.750 0.657
0.250 0.750 0.000
0.750 0.250 0.000

---

Arrangement iii

BeZnNO PBE-GGA optimized geometry; calculated volume = 143.35 Å³/cell; SG = Pca2_1 (29)
1.0
5.129 0.000 0.000
0.000 6.380 0.000
0.000 0.000 4.381
Be Zn N O
4 4 4 4
Direct
0.090 0.100 0.000
0.410 0.100 0.500
0.590 0.900 0.000
0.910 0.900 0.500
0.056 0.644 0.050
0.444 0.644 0.550
0.556 0.356 0.050
0.944 0.356 0.550
0.051 0.655 0.568
0.449 0.655 0.068
0.551 0.345 0.568
0.949 0.345 0.068
0.111 0.078 0.631
0.389 0.078 0.131
0.611 0.922 0.631
0.889 0.922 0.131

---

Arrangement iv

BeZnNO PBE-GGA optimized geometry; calculated volume = 69.21 Å³/cell; SG = P4/nmm (129)
1.0
3.076 0.000 0.000
0.000 3.076 0.000
0.000 0.000 7.313
Be Zn N O
2 2 2 2
Direct
0.250 0.750 0.000
0.750 0.250 0.000
0.250 0.250 0.305
0.750 0.750 0.695
0.250 0.250 0.884
0.750 0.750 0.116
0.250 0.750 0.500
0.750 0.250 0.500

---

Top of the stability list: arrangement iii, leading by 4.6 kJ/mol of atoms.